[1]
Compound: PaSnAu6
Source: Alexandria via LeMat-Bulk
Functional: PBE
Structure: optimized geometry

Cell: 5.547 5.547 8.349 Å, 70.60 70.60 60.00°
Element x y z (fractional)
Pa  0.500  0.500  0.500
Sn  0.000  0.000  0.000
Au  0.068  0.068  0.302
Au  0.068  0.562  0.302
Au  0.438  0.932  0.698
Au  0.932  0.438  0.698
Au  0.932  0.932  0.698
Au  0.562  0.068  0.302

Computed properties:
Symmetry: R-3m, No. 166
ΔE_f: -0.09 eV per formula unit
Crystal system: trigonal

=====

[2]
Compound: Pa3Sn2Au8
Source: Alexandria via LeMat-Bulk
Functional: PBE
Structure: optimized geometry

Cell: 5.358 5.358 13.085 Å, 78.19 78.19 60.00°
Element x y z (fractional)
Pa  0.000  0.000  0.000
Pa  0.760  0.760  0.721
Pa  0.240  0.240  0.279
Sn  0.609  0.609  0.173
Sn  0.391  0.391  0.827
Au  0.684  0.684  0.948
Au  0.316  0.316  0.052
Au  0.198  0.702  0.399
Au  0.702  0.198  0.399
Au  0.702  0.702  0.399
Au  0.298  0.802  0.601
Au  0.802  0.298  0.601
Au  0.298  0.298  0.601

Computed properties:
Symmetry: R-3m, No. 166
ΔE_f: -0.47 eV per formula unit
Crystal system: trigonal

=====

[3]
Compound: PaSn2Au
Source: Alexandria via LeMat-Bulk
Functional: PBE
Structure: optimized geometry

Cell: 3.650 3.650 7.123 Å, 90.00 90.00 90.00°
Element x y z (fractional)
Pa  0.500  0.500  0.000
Au  0.500  0.500  0.500
Sn  0.000  0.000  0.717
Sn  0.000  0.000  0.283

Computed properties:
Symmetry: P4/mmm, No. 123
ΔE to the lowest computed polymorph: 292 meV/atom
ΔE_f: -0.18 eV per formula unit
Crystal system: tetragonal

=====

[4]
Compound: PaSnAu4
Source: Alexandria via LeMat-Bulk
Functional: PBE
Structure: optimized geometry

Cell: 4.546 4.546 7.256 Å, 89.93 89.97 90.01°
Element x y z (fractional)
Pa  0.501  0.497  0.998
Sn  0.001  0.998  0.498
Au  0.501  0.997  0.260
Au  0.501  0.997  0.736
Au  0.002  0.497  0.736
Au  0.001  0.498  0.260

Computed properties:
Symmetry: C2, No. 5
ΔE to the lowest computed polymorph: 73 meV/atom
ΔE_f: -0.36 eV per formula unit
Crystal system: monoclinic

=====

[5]
Compound: PaSnAu
Source: Alexandria via LeMat-Bulk
Functional: PBE
Structure: optimized geometry

Cell: 4.804 4.804 4.804 Å, 60.00 60.00 60.00°
Element x y z (fractional)
Pa  0.500  0.500  0.500
Au  0.250  0.250  0.250
Sn  0.000  0.000  0.000

Computed properties:
Symmetry: F-43m, No. 216
ΔE_f: -0.81 eV per formula unit
Crystal system: cubic

=====

[6]
Compound: PaSnAu
Source: Alexandria via LeMat-Bulk
Functional: PBE
Structure: optimized geometry

Cell: 4.097 4.554 4.554 Å, 120.00 90.00 90.00°
Element x y z (fractional)
Pa  0.294  0.333  0.667
Au  0.967  0.000  0.000
Sn  0.739  0.667  0.333

Computed properties:
Symmetry: P3m1, No. 156
ΔE_f: -1.02 eV per formula unit
Crystal system: trigonal

=====

[7]
Compound: PaSnAu
Source: Alexandria via LeMat-Bulk
Functional: PBE
Structure: optimized geometry

Cell: 3.563 3.563 6.180 Å, 106.76 106.76 90.00°
Element x y z (fractional)
Pa  0.345  0.345  0.691
Au  0.000  0.000  0.000
Sn  0.655  0.655  0.309

Computed properties:
Symmetry: I4mm, No. 107
ΔE_f: -0.54 eV per formula unit
Crystal system: tetragonal

=====

[8]
Compound: PaSnAu
Source: Alexandria via LeMat-Bulk
Functional: PBE
Structure: optimized geometry

Cell: 4.478 4.478 9.097 Å, 75.75 75.75 60.00°
Element x y z (fractional)
Sn  0.628  0.628  0.115
Sn  0.372  0.372  0.885
Au  0.256  0.256  0.233
Au  0.744  0.744  0.767
Pa  0.861  0.861  0.418
Pa  0.139  0.139  0.582

Computed properties:
Symmetry: R-3m, No. 166
ΔE_f: -0.08 eV per formula unit
Crystal system: trigonal

=====

[9]
Compound: PaSn2Au2
Source: Alexandria via LeMat-Bulk
Functional: PBE
Structure: optimized geometry

Cell: 3.265 4.308 8.403 Å, 104.87 90.00 90.00°
Element x y z (fractional)
Pa  0.000  0.000  0.000
Sn  0.500  0.617  0.235
Sn  0.500  0.383  0.765
Au  0.000  0.192  0.385
Au  0.000  0.808  0.615

Computed properties:
Symmetry: Cmmm, No. 65
ΔE_f: -0.35 eV per formula unit
Crystal system: orthorhombic

=====

[10]
Compound: PaSn2Au
Source: Alexandria via LeMat-Bulk
Functional: PBE
Structure: optimized geometry

Cell: 3.278 3.278 10.936 Å, 81.38 81.38 60.00°
Element x y z (fractional)
Pa  0.000  0.000  0.000
Au  0.500  0.500  0.500
Sn  0.098  0.098  0.706
Sn  0.902  0.902  0.294

Computed properties:
Symmetry: R-3m, No. 166
ΔE to the lowest computed polymorph: 487 meV/atom
ΔE_f: 0.60 eV per formula unit
Crystal system: trigonal

=====

[11]
Compound: TbPaSnAu
Source: Alexandria via LeMat-Bulk
Functional: PBE
Structure: optimized geometry

Cell: 5.252 5.252 5.252 Å, 60.00 60.00 60.00°
Element x y z (fractional)
Tb  0.500  0.500  0.500
Pa  0.000  0.000  0.000
Au  0.250  0.250  0.250
Sn  0.750  0.750  0.750

Computed properties:
Symmetry: F-43m, No. 216
ΔE_f: -1.34 eV per formula unit
Crystal system: cubic

=====

[12]
Compound: UPaSnAu
Source: Alexandria via LeMat-Bulk
Functional: PBE
Structure: optimized geometry

Cell: 5.123 5.123 5.123 Å, 60.00 60.00 60.00°
Element x y z (fractional)
Au  0.500  0.500  0.500
Pa  0.750  0.750  0.750
U  0.000  0.000  0.000
Sn  0.250  0.250  0.250

Computed properties:
Symmetry: F-43m, No. 216
ΔE_f: 0.92 eV per formula unit
Crystal system: cubic

=====

no.,DOS at the Fermi energy (states/eV/f.u.),total moment (μB per cell)
1,9.23,1.319
2,17.77,2.390
3,5.54,0.047
4,4.99,0.001
5,3.70,0.007
6,0.44,0.021
7,5.04,1.046
8,3.82,0.001
9,6.48,1.020
10,4.42,0.183
11,8.90,2.475
12,9.24,5.845